[1]
AcTaSi | PBE | relaxed

abc: 5.083 5.083 5.083
angles: 60.00 60.00 60.00
Fractional coordinates of all 3 atoms:
Ac (0.000, 0.000, 0.000)
Ta (0.750, 0.750, 0.750)
Si (0.250, 0.250, 0.250)

Values from the calculation:
total DFT energy (no corrections): -16.8 eV for the cell shown
volume: 30.95 Å³/atom

***

[2]
NaDyAlTe3 | PBE | relaxed

abc: 7.880 7.880 11.261
angles: 90.00 90.00 148.84
Fractional coordinates of all 12 atoms:
Te (0.141, 0.859, 0.065)
Te (0.410, 0.590, 0.250)
Te (0.859, 0.141, 0.935)
Te (0.141, 0.859, 0.435)
Te (0.859, 0.141, 0.565)
Te (0.590, 0.410, 0.750)
Dy (0.500, 0.500, 0.000)
Dy (0.500, 0.500, 0.500)
Al (0.029, 0.971, 0.250)
Al (0.971, 0.029, 0.750)
Na (0.265, 0.735, 0.750)
Na (0.735, 0.265, 0.250)

Values from the calculation:
total DFT energy (no corrections): -48.0 eV for the cell shown
volume: 30.15 Å³/atom

***

[3]
HfGa2Ir | PBE | relaxed

abc: 4.544 4.544 4.544
angles: 60.00 60.00 60.00
Fractional coordinates of all 4 atoms:
Ga (0.000, 0.000, 0.000)
Ga (0.250, 0.250, 0.250)
Hf (0.500, 0.500, 0.500)
Ir (0.750, 0.750, 0.750)

Values from the calculation:
total DFT energy (no corrections): -26.6 eV for the cell shown
volume: 16.59 Å³/atom

***

[4]
ZrUIr | PBE | relaxed

abc: 4.630 4.630 4.630
angles: 60.00 60.00 60.00
Fractional coordinates of all 3 atoms:
U (0.750, 0.750, 0.750)
Ir (0.000, 0.000, 0.000)
Zr (0.250, 0.250, 0.250)

Values from the calculation:
total DFT energy (no corrections): -28.9 eV for the cell shown
volume: 23.40 Å³/atom

***

[5]
ZnFeTcAu | PBE | relaxed

abc: 4.382 4.382 4.382
angles: 60.00 60.00 60.00
Fractional coordinates of all 4 atoms:
Tc (0.500, 0.500, 0.500)
Fe (0.750, 0.750, 0.750)
Zn (0.000, 0.000, 0.000)
Au (0.250, 0.250, 0.250)

Values from the calculation:
total DFT energy (no corrections): -21.9 eV for the cell shown
volume: 14.88 Å³/atom

***

[6]
LiSmNiTe3 | PBE | relaxed

abc: 7.552 7.552 10.920
angles: 90.00 90.00 148.55
Fractional coordinates of all 12 atoms:
Ni (0.513, 0.487, 0.250)
Ni (0.487, 0.513, 0.750)
Te (0.097, 0.903, 0.750)
Te (0.355, 0.645, 0.594)
Te (0.645, 0.355, 0.094)
Te (0.903, 0.097, 0.250)
Te (0.355, 0.645, 0.906)
Te (0.645, 0.355, 0.406)
Sm (0.000, 0.000, 0.000)
Sm (0.000, 0.000, 0.500)
Li (0.239, 0.761, 0.250)
Li (0.761, 0.239, 0.750)

Values from the calculation:
total DFT energy (no corrections): -52.8 eV for the cell shown
volume: 27.08 Å³/atom

***

[7]
HfSnAsO | PBE | relaxed

abc: 3.790 3.790 10.392
angles: 90.00 90.00 90.00
Fractional coordinates of all 8 atoms:
Hf (0.750, 0.750, 0.891)
Hf (0.250, 0.250, 0.109)
As (0.250, 0.250, 0.754)
As (0.750, 0.750, 0.246)
O (0.750, 0.250, 0.000)
O (0.250, 0.750, 0.000)
Sn (0.250, 0.750, 0.500)
Sn (0.750, 0.250, 0.500)

Values from the calculation:
total DFT energy (no corrections): -56.4 eV for the cell shown
volume: 18.66 Å³/atom

***

[8]
Li4NbInO6 | PBE | relaxed

abc: 5.296 5.296 5.221
angles: 99.87 99.87 119.87
Fractional coordinates of all 12 atoms:
O (0.399, 0.068, 0.765)
O (0.774, 0.755, 0.758)
O (0.086, 0.442, 0.757)
O (0.932, 0.601, 0.235)
O (0.558, 0.914, 0.243)
O (0.245, 0.226, 0.242)
Li (0.344, 0.656, 0.500)
Li (0.501, 0.499, 0.000)
Li (0.655, 0.345, 0.500)
Li (0.004, 0.996, 0.500)
Nb (0.169, 0.831, 0.000)
In (0.834, 0.166, 0.000)

Values from the calculation:
total DFT energy (no corrections): -75.3 eV for the cell shown
volume: 9.94 Å³/atom

***

Repeat the fourth record exactly.
ZrUIr | PBE | relaxed

abc: 4.630 4.630 4.630
angles: 60.00 60.00 60.00
Fractional coordinates of all 3 atoms:
U (0.750, 0.750, 0.750)
Ir (0.000, 0.000, 0.000)
Zr (0.250, 0.250, 0.250)

Values from the calculation:
total DFT energy (no corrections): -28.9 eV for the cell shown
volume: 23.40 Å³/atom